Computed, not measured: crystalline Pm3BiSeN at its relaxed geometry at the GGA-PBE level of DFT.

Output
Formation energy from raw total energies   -7.87 eV per formula unit
DOS at the Fermi energy   2.580 states/eV/f.u.
E_tot   -6.3014 eV/atom
Calculated volume   353.1 Å³ per cell

Lattice parameters (Å, degrees): 8.961 4.245 9.442 90.00 100.55 90.00
Atoms (fractional coordinates):
Pm 0.086 0.250 0.348
Pm 0.343 0.250 0.987
Pm 0.392 0.750 0.662
Pm 0.608 0.250 0.338
Pm 0.657 0.750 0.013
Pm 0.914 0.750 0.652
Bi 0.325 0.750 0.286
Bi 0.675 0.250 0.714
Se 0.151 0.250 0.662
Se 0.849 0.750 0.338
N 0.409 0.750 0.901
N 0.591 0.250 0.099